DFT (PBE) results for a relaxed TeMoSeI2 crystal. Values from VASP.

The calculation puts the offset from the most stable computed form at 0.000 eV/atom. The value obtained for the total DFT energy (no corrections) is -17.66 eV per cell. The value obtained for the energy relative to the elements, uncorrected is 2.90 eV per formula unit.

```
&SYSTEM
  ibrav = 0, nat = 5, ntyp = 4
/
ATOMIC_SPECIES
Te 127.60 Te.upf
Mo 95.94 Mo.upf
Se 78.96 Se.upf
I 126.90 I.upf
CELL_PARAMETERS angstrom
5.3755 0.0000 0.0000
0.0000 5.3755 0.0000
0.0000 0.0000 5.3063
ATOMIC_POSITIONS angstrom
Te 0.0000 0.0000 0.0000
Mo 0.0000 0.0000 2.6531
Se 2.6878 2.6878 0.0000
I 0.0000 2.6878 2.6531
I 2.6878 0.0000 2.6531
```

***

DFT (PBE) results for a relaxed TeMoSeI2 crystal. Values from VASP.

The calculation puts the offset from the most stable computed form at 0.502 eV/atom. The value obtained for the total DFT energy (no corrections) is -15.14 eV per cell. The value obtained for the energy relative to the elements, uncorrected is 5.41 eV per formula unit.

```
&SYSTEM
  ibrav = 0, nat = 5, ntyp = 4
/
ATOMIC_SPECIES
Te 127.60 Te.upf
Mo 95.94 Mo.upf
Se 78.96 Se.upf
I 126.90 I.upf
CELL_PARAMETERS angstrom
5.6144 0.0000 0.0000
0.0000 5.6144 0.0000
0.0000 0.0000 5.6714
ATOMIC_POSITIONS angstrom
Te 0.0000 0.0000 0.0000
Mo 2.8072 2.8072 0.0000
Se 0.0000 0.0000 2.8357
I 0.0000 2.8072 2.8357
I 2.8072 0.0000 2.8357
```

***

The highest total DFT energy (no corrections) belongs to which entry?
number 2

***

What did the second record say?
DFT (PBE) results for a relaxed TeMoSeI2 crystal. Values from VASP.

The calculation puts the offset from the most stable computed form at 0.502 eV/atom. The value obtained for the total DFT energy (no corrections) is -15.14 eV per cell. The value obtained for the energy relative to the elements, uncorrected is 5.41 eV per formula unit.

```
&SYSTEM
  ibrav = 0, nat = 5, ntyp = 4
/
ATOMIC_SPECIES
Te 127.60 Te.upf
Mo 95.94 Mo.upf
Se 78.96 Se.upf
I 126.90 I.upf
CELL_PARAMETERS angstrom
5.6144 0.0000 0.0000
0.0000 5.6144 0.0000
0.0000 0.0000 5.6714
ATOMIC_POSITIONS angstrom
Te 0.0000 0.0000 0.0000
Mo 2.8072 2.8072 0.0000
Se 0.0000 0.0000 2.8357
I 0.0000 2.8072 2.8357
I 2.8072 0.0000 2.8357
```

***

Which formula does entry 2 have?
TeMoSeI2